Material: TiCoPS2
Method: DFT, GGA-PBE
State: optimized geometry

Calculated values
Density of states at the Fermi level in states/eV per cell: 5.44
Formation energy (no corrections) in eV/atom: 0.37
Symmetry: P4/mmm
Distance to the lowest polymorph of the same formula in kJ/mol of formula units: 83
Total magnetic moment in μB/f.u.: 2.79
E_tot in eV per formula unit: -26.83

a = 4.628 Å, b = 4.628 Å, c = 4.740 Å
α = 90.00°, β = 90.00°, γ = 90.00°
Each line ends with the local moment (μB).
Sites, in units of the cell vectors:
P1 0.000 0.000 0.500  0.07
S1 0.000 0.500 0.000  0.11
S2 0.500 0.000 0.000  0.11
Co1 0.500 0.500 0.500  2.24
Ti1 0.000 0.000 0.000  0.03